The following is a PBE calculation of a geometry-optimized PmHgAs2 structure, from the Alexandria database.

Properties
For the total magnetization, the calculation gives 0.0 μB per formula unit. The space group is No. 225. The total energy is -15.6 eV/cell. For the relative energy among the computed polymorphs, the calculation gives 0.99 eV/f.u. The calculated formation energy comes out at -121.0 kJ/mol of formula units.

abc: 5.087 5.087 5.087
angles: 60.00 60.00 60.00
Atoms (fractional coordinates):
As: 0.750 0.750 0.750
As: 0.250 0.250 0.250
Hg: 0.500 0.500 0.500
Pm: 0.000 0.000 0.000